A plane-wave DFT calculation with PBE-GGA was carried out for crystalline SbOsW3 at its relaxed geometry.

## Properties
Energy relative to the elements, uncorrected: 1.8550 eV/atom
Offset from the most stable computed form: 0.0000 eV per atom

a = 4.801 Å, b = 4.801 Å, c = 4.801 Å
α = 90.00°, β = 90.00°, γ = 90.00°
Space group Pm-3m (No. 221)
One atom of each set of equivalent atoms:
Sb1 0.000 0.000 0.000
Os1 0.500 0.500 0.500
W1 0.000 0.500 0.500

A plane-wave DFT calculation with PBE-GGA was carried out for crystalline Pr8Er2Sc3 at its relaxed geometry.

## Properties
Formation energy: 0.178 eV per atom
Offset from the most stable computed form: 0.0000 eV per atom

a = 13.440 Å, b = 11.497 Å, c = 6.019 Å
α = 90.00°, β = 112.56°, γ = 90.00°
Space group C2/m (No. 12)
One atom of each set of equivalent atoms:
Pr1 0.087 0.000 0.252
Pr2 0.136 0.500 0.618
Pr3 0.155 0.267 0.145
Er1 0.182 0.000 0.819
Sc1 0.000 0.229 0.500
Sc2 0.000 0.500 0.000